(1)
First-principles (GGA-PBE) data for an optimized crystal structure of Si2Se3, as listed in the Alexandria database.

Cell lengths 3.623, 3.623, 9.662 Å; angles 90.00, 90.00, 120.00 degrees
Fractional positions:
Si 0.333 0.667 0.829
Si 0.667 0.333 0.171
Se 0.667 0.333 0.687
Se 0.333 0.667 0.313
Se 0.000 0.000 0.000


(2)
First-principles (GGA-PBE) data for an optimized crystal structure of SiSe2, as listed in the Alexandria database.

Cell lengths 5.933, 6.452, 6.986 Å; angles 117.49, 115.16, 90.00 degrees
Fractional positions:
Se 0.386 0.082 0.773
Se 0.886 0.691 0.773
Se 0.614 0.918 0.227
Se 0.114 0.309 0.227
Si 0.750 0.000 0.000
Si 0.250 0.000 0.000


(3)
First-principles (GGA-PBE) data for an optimized crystal structure of Si3Se4, as listed in the Alexandria database.

Cell lengths 5.854, 5.854, 5.854 Å; angles 90.00, 90.00, 90.00 degrees
Fractional positions:
Si 0.500 0.500 0.000
Si 0.000 0.500 0.500
Si 0.500 0.000 0.500
Se 0.259 0.259 0.741
Se 0.741 0.259 0.259
Se 0.259 0.741 0.259
Se 0.741 0.741 0.741

Output
energy above the lowest structure with this stoichiometry: 84 meV/atom


(4)
First-principles (GGA-PBE) data for an optimized crystal structure of SiSe3, as listed in the Alexandria database.

Cell lengths 15.160, 15.160, 15.160 Å; angles 165.99, 165.99, 19.86 degrees
Fractional positions:
Se 0.500 0.000 0.500
Se 0.862 0.862 0.000
Se 0.000 0.500 0.500
Se 0.138 0.138 0.000
Se 0.250 0.750 0.500
Se 0.750 0.250 0.500
Si 0.659 0.659 0.000
Si 0.341 0.341 0.000


(5)
First-principles (GGA-PBE) data for an optimized crystal structure of SiSe3, as listed in the Alexandria database.

Cell lengths 7.363, 7.363, 5.285 Å; angles 55.76, 55.76, 26.04 degrees
Fractional positions:
Si 0.000 0.000 0.000
Se 0.500 0.500 0.500
Se 0.644 0.644 0.888
Se 0.356 0.356 0.112


(6)
First-principles (GGA-PBE) data for an optimized crystal structure of SiSe2, as listed in the Alexandria database.

Cell lengths 7.458, 7.458, 7.819 Å; angles 84.46, 84.46, 26.48 degrees
Fractional positions:
Se 0.156 0.156 0.914
Se 0.844 0.844 0.086
Se 0.860 0.860 0.656
Se 0.140 0.140 0.344
Si 0.680 0.680 0.145
Si 0.320 0.320 0.855


| no. | raw formation energy (eV/atom) | total energy (eV/atom) |
| --- | --- | --- |
| 1 | -0.195 | -4.455 |
| 2 | -0.456 | -4.587 |
| 3 | 0.130 | -4.186 |
| 4 | 0.264 | -3.705 |
| 5 | 0.148 | -3.821 |
| 6 | -0.251 | -4.382 |